i:
BTeAu2 | PBE | relaxed

```
data_BTeAu2
_space_group_name_H-M_alt 'I -4 2 d'
_space_group_IT_number 122
_space_group_name_Hall 'I -4 2bw'
_cell_length_a 5.024
_cell_length_b 5.024
_cell_length_c 13.431
_cell_angle_alpha 90.00
_cell_angle_beta 90.00
_cell_angle_gamma 90.00
loop_
_atom_site_label
_atom_site_fract_x
_atom_site_fract_y
_atom_site_fract_z
B1 0.000 0.000 0.000
Te1 0.000 0.000 0.500
Au1 0.138 0.250 0.125
```

ii:
BTeAu2 | PBE | relaxed

```
data_BTeAu2
_space_group_name_H-M_alt 'F m -3 m'
_space_group_IT_number 225
_space_group_name_Hall '-F 4 2 3'
_cell_length_a 6.726
_cell_length_b 6.726
_cell_length_c 6.726
_cell_angle_alpha 90.00
_cell_angle_beta 90.00
_cell_angle_gamma 90.00
loop_
_atom_site_label
_atom_site_fract_x
_atom_site_fract_y
_atom_site_fract_z
B1 0.000 0.000 0.000
Te1 0.000 0.000 0.500
Au1 0.250 0.250 0.250
```

Which one sits at the top of the stability order? i does.

i:
TiBAu3 | PBE | relaxed

```
data_TiBAu3
_space_group_name_H-M_alt 'P m -3 m'
_space_group_IT_number 221
_space_group_name_Hall '-P 4 2 3'
_cell_length_a 4.387
_cell_length_b 4.387
_cell_length_c 4.387
_cell_angle_alpha 90.00
_cell_angle_beta 90.00
_cell_angle_gamma 90.00
loop_
_atom_site_label
_atom_site_fract_x
_atom_site_fract_y
_atom_site_fract_z
Ti1 0.000 0.000 0.000
B1 0.500 0.500 0.500
Au1 0.000 0.500 0.500
```

ii:
TiBAu3 | PBE | relaxed

```
data_TiBAu3
_space_group_name_H-M_alt 'P m -3 m'
_space_group_IT_number 221
_space_group_name_Hall '-P 4 2 3'
_cell_length_a 5.019
_cell_length_b 5.019
_cell_length_c 5.019
_cell_angle_alpha 90.00
_cell_angle_beta 90.00
_cell_angle_gamma 90.00
loop_
_atom_site_label
_atom_site_fract_x
_atom_site_fract_y
_atom_site_fract_z
Ti1 0.000 0.000 0.000
B1 0.500 0.500 0.500
Au1 0.000 0.000 0.500
```

Which one sits at the top of the stability order? i does.

i:
TiB3Au | PBE | relaxed

```
data_TiB3Au
_space_group_name_H-M_alt 'P m -3 m'
_space_group_IT_number 221
_space_group_name_Hall '-P 4 2 3'
_cell_length_a 4.129
_cell_length_b 4.129
_cell_length_c 4.129
_cell_angle_alpha 90.00
_cell_angle_beta 90.00
_cell_angle_gamma 90.00
loop_
_atom_site_label
_atom_site_fract_x
_atom_site_fract_y
_atom_site_fract_z
Ti1 0.000 0.000 0.000
B1 0.000 0.500 0.500
Au1 0.500 0.500 0.500
```

ii:
TiB3Au | PBE | relaxed

```
data_TiB3Au
_space_group_name_H-M_alt 'P m -3 m'
_space_group_IT_number 221
_space_group_name_Hall '-P 4 2 3'
_cell_length_a 4.152
_cell_length_b 4.152
_cell_length_c 4.152
_cell_angle_alpha 90.00
_cell_angle_beta 90.00
_cell_angle_gamma 90.00
loop_
_atom_site_label
_atom_site_fract_x
_atom_site_fract_y
_atom_site_fract_z
Ti1 0.000 0.000 0.000
B1 0.000 0.000 0.500
Au1 0.500 0.500 0.500
```

Which one sits at the top of the stability order? ii does.

i:
TlB3Au | PBE | relaxed

```
data_TlB3Au
_space_group_name_H-M_alt 'P m -3 m'
_space_group_IT_number 221
_space_group_name_Hall '-P 4 2 3'
_cell_length_a 4.331
_cell_length_b 4.331
_cell_length_c 4.331
_cell_angle_alpha 90.00
_cell_angle_beta 90.00
_cell_angle_gamma 90.00
loop_
_atom_site_label
_atom_site_fract_x
_atom_site_fract_y
_atom_site_fract_z
Tl1 0.000 0.000 0.000
B1 0.000 0.500 0.500
Au1 0.500 0.500 0.500
```

ii:
TlB3Au | PBE | relaxed

```
data_TlB3Au
_space_group_name_H-M_alt 'P m -3 m'
_space_group_IT_number 221
_space_group_name_Hall '-P 4 2 3'
_cell_length_a 4.549
_cell_length_b 4.549
_cell_length_c 4.549
_cell_angle_alpha 90.00
_cell_angle_beta 90.00
_cell_angle_gamma 90.00
loop_
_atom_site_label
_atom_site_fract_x
_atom_site_fract_y
_atom_site_fract_z
Tl1 0.000 0.000 0.000
B1 0.000 0.000 0.500
Au1 0.500 0.500 0.500
```

Which one sits at the top of the stability order? i does.

i:
TlBAu3 | PBE | relaxed

```
data_TlBAu3
_space_group_name_H-M_alt 'P m -3 m'
_space_group_IT_number 221
_space_group_name_Hall '-P 4 2 3'
_cell_length_a 5.310
_cell_length_b 5.310
_cell_length_c 5.310
_cell_angle_alpha 90.00
_cell_angle_beta 90.00
_cell_angle_gamma 90.00
loop_
_atom_site_label
_atom_site_fract_x
_atom_site_fract_y
_atom_site_fract_z
Tl1 0.000 0.000 0.000
B1 0.500 0.500 0.500
Au1 0.000 0.000 0.500
```

ii:
TlBAu3 | PBE | relaxed

```
data_TlBAu3
_space_group_name_H-M_alt 'P m -3 m'
_space_group_IT_number 221
_space_group_name_Hall '-P 4 2 3'
_cell_length_a 4.552
_cell_length_b 4.552
_cell_length_c 4.552
_cell_angle_alpha 90.00
_cell_angle_beta 90.00
_cell_angle_gamma 90.00
loop_
_atom_site_label
_atom_site_fract_x
_atom_site_fract_y
_atom_site_fract_z
Tl1 0.000 0.000 0.000
B1 0.500 0.500 0.500
Au1 0.000 0.500 0.500
```

Which one sits at the top of the stability order? ii does.

i:
VB2Au | PBE | relaxed

```
data_VB2Au
_space_group_name_H-M_alt 'I -4 2 d'
_space_group_IT_number 122
_space_group_name_Hall 'I -4 2bw'
_cell_length_a 3.659
_cell_length_b 3.659
_cell_length_c 15.607
_cell_angle_alpha 90.00
_cell_angle_beta 90.00
_cell_angle_gamma 90.00
loop_
_atom_site_label
_atom_site_fract_x
_atom_site_fract_y
_atom_site_fract_z
V1 0.000 0.000 0.000
B1 0.002 0.250 0.125
Au1 0.000 0.000 0.500
```

ii:
VB2Au | PBE | relaxed

```
data_VB2Au
_space_group_name_H-M_alt 'F m -3 m'
_space_group_IT_number 225
_space_group_name_Hall '-F 4 2 3'
_cell_length_a 5.563
_cell_length_b 5.563
_cell_length_c 5.563
_cell_angle_alpha 90.00
_cell_angle_beta 90.00
_cell_angle_gamma 90.00
loop_
_atom_site_label
_atom_site_fract_x
_atom_site_fract_y
_atom_site_fract_z
V1 0.000 0.000 0.000
B1 0.250 0.250 0.250
Au1 0.000 0.000 0.500
```

Which one sits at the top of the stability order? i does.

i:
VBAu3 | PBE | relaxed

```
data_VBAu3
_space_group_name_H-M_alt 'P m -3 m'
_space_group_IT_number 221
_space_group_name_Hall '-P 4 2 3'
_cell_length_a 4.378
_cell_length_b 4.378
_cell_length_c 4.378
_cell_angle_alpha 90.00
_cell_angle_beta 90.00
_cell_angle_gamma 90.00
loop_
_atom_site_label
_atom_site_fract_x
_atom_site_fract_y
_atom_site_fract_z
V1 0.000 0.000 0.000
B1 0.500 0.500 0.500
Au1 0.000 0.500 0.500
```

ii:
VBAu3 | PBE | relaxed

```
data_VBAu3
_space_group_name_H-M_alt 'P m -3 m'
_space_group_IT_number 221
_space_group_name_Hall '-P 4 2 3'
_cell_length_a 4.961
_cell_length_b 4.961
_cell_length_c 4.961
_cell_angle_alpha 90.00
_cell_angle_beta 90.00
_cell_angle_gamma 90.00
loop_
_atom_site_label
_atom_site_fract_x
_atom_site_fract_y
_atom_site_fract_z
V1 0.000 0.000 0.000
B1 0.500 0.500 0.500
Au1 0.000 0.000 0.500
```

Which one sits at the top of the stability order? i does.

i:
B2WAu | PBE | relaxed

```
data_B2WAu
_space_group_name_H-M_alt 'I -4 2 d'
_space_group_IT_number 122
_space_group_name_Hall 'I -4 2bw'
_cell_length_a 5.074
_cell_length_b 5.074
_cell_length_c 9.318
_cell_angle_alpha 90.00
_cell_angle_beta 90.00
_cell_angle_gamma 90.00
loop_
_atom_site_label
_atom_site_fract_x
_atom_site_fract_y
_atom_site_fract_z
B1 0.243 0.250 0.125
W1 0.000 0.000 0.000
Au1 0.000 0.000 0.500
```

ii:
B2WAu | PBE | relaxed

```
data_B2WAu
_space_group_name_H-M_alt 'F m -3 m'
_space_group_IT_number 225
_space_group_name_Hall '-F 4 2 3'
_cell_length_a 5.676
_cell_length_b 5.676
_cell_length_c 5.676
_cell_angle_alpha 90.00
_cell_angle_beta 90.00
_cell_angle_gamma 90.00
loop_
_atom_site_label
_atom_site_fract_x
_atom_site_fract_y
_atom_site_fract_z
B1 0.250 0.250 0.250
W1 0.000 0.000 0.000
Au1 0.000 0.000 0.500
```

Which one sits at the top of the stability order? ii does.

i:
BW3Au | PBE | relaxed

```
data_BW3Au
_space_group_name_H-M_alt 'P m -3 m'
_space_group_IT_number 221
_space_group_name_Hall '-P 4 2 3'
_cell_length_a 4.213
_cell_length_b 4.213
_cell_length_c 4.213
_cell_angle_alpha 90.00
_cell_angle_beta 90.00
_cell_angle_gamma 90.00
loop_
_atom_site_label
_atom_site_fract_x
_atom_site_fract_y
_atom_site_fract_z
B1 0.000 0.000 0.000
W1 0.000 0.000 0.500
Au1 0.500 0.500 0.500
```

ii:
BW3Au | PBE | relaxed

```
data_BW3Au
_space_group_name_H-M_alt 'P m -3 m'
_space_group_IT_number 221
_space_group_name_Hall '-P 4 2 3'
_cell_length_a 4.835
_cell_length_b 4.835
_cell_length_c 4.835
_cell_angle_alpha 90.00
_cell_angle_beta 90.00
_cell_angle_gamma 90.00
loop_
_atom_site_label
_atom_site_fract_x
_atom_site_fract_y
_atom_site_fract_z
B1 0.000 0.000 0.000
W1 0.000 0.500 0.500
Au1 0.500 0.500 0.500
```

Which one sits at the top of the stability order? i does.

i:
YB2Au | PBE | relaxed

```
data_YB2Au
_space_group_name_H-M_alt 'I 41/a m d'
_space_group_IT_number 141
_cell_length_a 4.168
_cell_length_b 4.168
_cell_length_c 14.876
_cell_angle_alpha 90.00
_cell_angle_beta 90.00
_cell_angle_gamma 90.00
loop_
_space_group_symop_operation_xyz
'x,y,z'
'-x,-y,-z'
'-y+1/4,x+3/4,z+1/4'
'y+1/4,-x+3/4,-z+1/4'
'-x+1/2,-y,z+1/2'
'x+1/2,y,-z+1/2'
'y+1/4,-x+1/4,z+3/4'
'-y+1/4,x+1/4,-z+3/4'
'x,-y,-z'
'-x,y,z'
'-y+1/4,-x+1/4,-z+3/4'
'y+1/4,x+1/4,z+3/4'
'-x+1/2,y,-z+1/2'
'x+1/2,-y,z+1/2'
'y+1/4,x+3/4,-z+1/4'
'-y+1/4,-x+3/4,z+1/4'
'x+1/2,y+1/2,z+1/2'
'-x+1/2,-y+1/2,-z+1/2'
'-y+3/4,x+1/4,z+3/4'
'y+3/4,-x+1/4,-z+3/4'
'-x,-y+1/2,z'
'x,y+1/2,-z'
'y+3/4,-x+3/4,z+1/4'
'-y+3/4,x+3/4,-z+1/4'
'x+1/2,-y+1/2,-z+1/2'
'-x+1/2,y+1/2,z+1/2'
'-y+3/4,-x+3/4,-z+1/4'
'y+3/4,x+3/4,z+1/4'
'-x,y+1/2,-z'
'x,-y+1/2,z'
'y+3/4,x+1/4,-z+3/4'
'-y+3/4,-x+1/4,z+3/4'
loop_
_atom_site_label
_atom_site_fract_x
_atom_site_fract_y
_atom_site_fract_z
Y1 0.000 0.250 0.375
B1 0.000 0.000 0.000
Au1 0.000 0.250 0.875
```

ii:
YB2Au | PBE | relaxed

```
data_YB2Au
_space_group_name_H-M_alt 'F m -3 m'
_space_group_IT_number 225
_space_group_name_Hall '-F 4 2 3'
_cell_length_a 6.126
_cell_length_b 6.126
_cell_length_c 6.126
_cell_angle_alpha 90.00
_cell_angle_beta 90.00
_cell_angle_gamma 90.00
loop_
_atom_site_label
_atom_site_fract_x
_atom_site_fract_y
_atom_site_fract_z
Y1 0.000 0.000 0.000
B1 0.250 0.250 0.250
Au1 0.000 0.000 0.500
```

Which one sits at the top of the stability order? i does.

i:
Zn2BAu2 | PBE | relaxed

```
data_Zn2BAu2
_space_group_name_H-M_alt 'P 4/m b m'
_space_group_IT_number 127
_space_group_name_Hall '-P 4 2ab'
_cell_length_a 6.112
_cell_length_b 6.112
_cell_length_c 4.284
_cell_angle_alpha 90.00
_cell_angle_beta 90.00
_cell_angle_gamma 90.00
loop_
_atom_site_label
_atom_site_fract_x
_atom_site_fract_y
_atom_site_fract_z
Zn1 0.145 0.355 0.000
B1 0.000 0.000 0.500
Au1 0.185 0.685 0.500
```

ii:
Zn2BAu2 | PBE | relaxed

```
data_Zn2BAu2
_space_group_name_H-M_alt 'P 4/m b m'
_space_group_IT_number 127
_space_group_name_Hall '-P 4 2ab'
_cell_length_a 5.675
_cell_length_b 5.675
_cell_length_c 5.215
_cell_angle_alpha 90.00
_cell_angle_beta 90.00
_cell_angle_gamma 90.00
loop_
_atom_site_label
_atom_site_fract_x
_atom_site_fract_y
_atom_site_fract_z
Zn1 0.224 0.276 0.000
B1 0.000 0.000 0.000
Au1 0.179 0.679 0.500
```

iii:
Zn2BAu2 | PBE | relaxed

```
data_Zn2BAu2
_space_group_name_H-M_alt 'I 4/m m m'
_space_group_IT_number 139
_space_group_name_Hall '-I 4 2'
_cell_length_a 3.449
_cell_length_b 3.449
_cell_length_c 13.492
_cell_angle_alpha 90.00
_cell_angle_beta 90.00
_cell_angle_gamma 90.00
loop_
_atom_site_label
_atom_site_fract_x
_atom_site_fract_y
_atom_site_fract_z
Zn1 0.000 0.500 0.250
B1 0.000 0.000 0.000
Au1 0.000 0.000 0.402
```

Which one sits at the top of the stability order? i does.

i:
Zn2BAu | PBE | relaxed

```
data_Zn2BAu
_space_group_name_H-M_alt 'F m -3 m'
_space_group_IT_number 225
_space_group_name_Hall '-F 4 2 3'
_cell_length_a 6.131
_cell_length_b 6.131
_cell_length_c 6.131
_cell_angle_alpha 90.00
_cell_angle_beta 90.00
_cell_angle_gamma 90.00
loop_
_atom_site_label
_atom_site_fract_x
_atom_site_fract_y
_atom_site_fract_z
Zn1 0.250 0.250 0.250
B1 0.000 0.000 0.000
Au1 0.000 0.000 0.500
```

ii:
Zn2BAu | PBE | relaxed

```
data_Zn2BAu
_space_group_name_H-M_alt 'I -4 2 d'
_space_group_IT_number 122
_space_group_name_Hall 'I -4 2bw'
_cell_length_a 8.183
_cell_length_b 8.183
_cell_length_c 4.466
_cell_angle_alpha 90.00
_cell_angle_beta 90.00
_cell_angle_gamma 90.00
loop_
_atom_site_label
_atom_site_fract_x
_atom_site_fract_y
_atom_site_fract_z
Zn1 0.001 0.750 0.125
B1 0.000 0.000 0.000
Au1 0.000 0.000 0.500
```

Which one sits at the top of the stability order? ii does.